# LiSm4Ir2, optimized geometry, DFT GGA-PBE
# E_form in eV per formula unit: -2.20
# Size of the total moment in μB/atom: 0.0000
data_LiSm4Ir2
_cell_length_a 8.244
_cell_length_b 8.268
_cell_length_c 8.269
_cell_angle_alpha 82.19
_cell_angle_beta 60.24
_cell_angle_gamma 60.26
_space_group_name_H-M_alt 'P 1'
_space_group_IT_number 1
_space_group_name_Hall 'P 1'
loop_
_atom_site_label
_atom_site_type_symbol
_atom_site_fract_x
_atom_site_fract_y
_atom_site_fract_z
Li1 Li 0.000 0.000 0.000
Li2 Li 0.499 0.037 0.963
Sm1 Sm 0.196 0.316 0.290
Sm2 Sm 0.216 0.775 0.227
Sm3 Sm 0.281 0.263 0.738
Sm4 Sm 0.305 0.720 0.673
Sm5 Sm 0.695 0.327 0.280
Sm6 Sm 0.718 0.262 0.737
Sm7 Sm 0.784 0.773 0.225
Sm8 Sm 0.804 0.710 0.684
Ir1 Ir 0.249 0.519 0.482
Ir2 Ir 0.251 0.518 0.982
Ir3 Ir 0.749 0.018 0.482
Ir4 Ir 0.750 0.518 0.481